1.
VASP calculation (PBE-GGA) on crystalline Cr2InRe at its relaxed geometry.

Computed properties:
ΔE_f, eV/atom: 0.429
Density of states at the Fermi level, states/eV per cell: 7.67
Density, g/cm3: 11.204

a = 3.0902 Å, b = 4.5184 Å, c = 8.5984 Å
α = 90.00°, β = 90.00°, γ = 90.00°
Closest atoms and distances in Å follow each position.
Space group Cmmm (No. 65)
Inequivalent atoms, fractional coordinates:
Cr  0.0000  0.0000  0.2303 x4  2 Re 2.51, 4 Cr 2.74, 2 In 2.79
In  0.0000  0.5000  0.5000 x2  4 In 2.74, 4 Cr 2.79
Re  0.0000  0.5000  0.0000 x2  4 Cr 2.51, 4 Re 2.74

2.
VASP calculation (PBE-GGA) on crystalline CdOsCl2 at its relaxed geometry.

Computed properties:
Density of states at the Fermi level, states/eV per cell: 6.15
Density, g/cm3: 8.234
Polymorph energy (0 for the lowest one), eV per atom: 0.673

a = 6.0363 Å, b = 8.8694 Å, c = 3.1197 Å
α = 90.00°, β = 115.57°, γ = 90.00°
Closest atoms and distances in Å follow each position.
Space group C2/m (No. 12)
Inequivalent atoms, fractional coordinates:
Cd  0.0000  0.0000  0.0000 x2  4 Cl 2.68
Os  0.0000  0.5000  0.0000 x2  4 Cl 2.68
Cl  0.2500  0.2500  0.0000 x4  2 Cd 2.68, 2 Os 2.68

3.
VASP calculation (PBE-GGA) on crystalline RbZnB3 at its relaxed geometry.

Computed properties:
ΔE_f, eV/atom: 3.395
Density of states at the Fermi level, states/eV per cell: 4.86
Density, g/cm3: 2.137
Polymorph energy (0 for the lowest one), eV per atom: 1.497

a = 5.2223 Å, b = 5.2223 Å, c = 5.2223 Å
α = 90.00°, β = 90.00°, γ = 90.00°
Closest atoms and distances in Å follow each position.
Space group Pm-3m (No. 221)
Inequivalent atoms, fractional coordinates:
Rb  0.0000  0.0000  0.0000 x1  6 B 2.61
Zn  0.5000  0.5000  0.5000 x1  12 B 3.69
B  0.0000  0.0000  0.5000 x3  2 Rb 2.61

4.
VASP calculation (PBE-GGA) on crystalline Nd3DyF at its relaxed geometry.

Computed properties:
Density of states at the Fermi level, states/eV per cell: 5.49
Density, g/cm3: 7.351

a = 5.1770 Å, b = 5.1770 Å, c = 5.1770 Å
α = 90.00°, β = 90.00°, γ = 90.00°
Closest atoms and distances in Å follow each position.
Space group Pm-3m (No. 221)
Inequivalent atoms, fractional coordinates:
Nd  0.0000  0.0000  0.5000 x3  2 F 2.59
Dy  0.5000  0.5000  0.5000 x1  12 Nd 3.66
F  0.0000  0.0000  0.0000 x1  6 Nd 2.59

5.
VASP calculation (PBE-GGA) on crystalline NiSbTe at its relaxed geometry.

Computed properties:
Density of states at the Fermi level, states/eV per cell: 5.87
Density, g/cm3: 7.419

a = 6.5093 Å, b = 6.5093 Å, c = 6.5093 Å
α = 90.00°, β = 90.00°, γ = 90.00°
Closest atoms and distances in Å follow each position.
Space group F-43m (No. 216)
Inequivalent atoms, fractional coordinates:
Ni  0.0000  0.0000  0.0000 x4  4 Te 2.82, 4 Sb 2.82
Sb  0.2500  0.2500  0.7500 x4  4 Ni 2.82
Te  0.2500  0.2500  0.2500 x4  4 Ni 2.82

no.,DFT total energy (eV per atom),total moment (Bohr magnetons per cell)
1,-8.179,0.00
2,-3.241,2.56
3,-1.060,1.91
4,-5.132,0.00
5,-4.330,0.00